No. 1
! PBE Pm2TlSb, optimized geometry; values from VASP
&SYSTEM
  ibrav = 0, nat = 4, ntyp = 3
/
ATOMIC_SPECIES
Pm 145.00 Pm.upf
Tl 204.38 Tl.upf
Sb 121.76 Sb.upf
CELL_PARAMETERS angstrom
2.1549 1.2441 8.0718
-2.1549 1.2441 8.0718
0.0000 -2.4882 8.0718
ATOMIC_POSITIONS crystal
Pm 0.2435 0.2435 0.2435
Pm 0.7565 0.7565 0.7565
Tl 0.0000 0.0000 0.0000
Sb 0.5000 0.5000 0.5000
! crystal system	trigonal
! D(E_F)	0.42	states/eV per atom
! polymorph energy (0 for the lowest one)	64	meV/atom
! ΔE_f (raw)	-2.8	eV/f.u.



No. 2
! PBE Pm8TlSb2, optimized geometry; values from VASP
&SYSTEM
  ibrav = 0, nat = 11, ntyp = 3
/
ATOMIC_SPECIES
Pm 145.00 Pm.upf
Tl 204.38 Tl.upf
Sb 121.76 Sb.upf
CELL_PARAMETERS angstrom
9.8175 -2.5162 0.0000
9.8175 2.5162 0.0000
-1.2781 0.0000 7.1795
ATOMIC_POSITIONS crystal
Pm 0.0171 0.0171 0.2564
Pm 0.2157 0.2157 0.8477
Pm 0.3363 0.3363 0.4800
Pm 0.4053 0.4053 0.0113
Pm 0.5947 0.5947 0.9887
Pm 0.6637 0.6637 0.5200
Pm 0.7843 0.7843 0.1523
Pm 0.9829 0.9829 0.7436
Tl 0.5000 0.5000 0.5000
Sb 0.1803 0.1803 0.2647
Sb 0.8197 0.8197 0.7353
! crystal system	monoclinic
! D(E_F)	1.14	states/eV per atom
! ΔE_f (raw)	-4.6	eV/f.u.



No. 3
! PBE PmTlSb, optimized geometry; values from VASP
&SYSTEM
  ibrav = 0, nat = 3, ntyp = 3
/
ATOMIC_SPECIES
Pm 145.00 Pm.upf
Tl 204.38 Tl.upf
Sb 121.76 Sb.upf
CELL_PARAMETERS angstrom
5.0937 0.0000 0.0000
-2.5468 4.4112 0.0000
0.0000 0.0000 3.9875
ATOMIC_POSITIONS crystal
Pm 0.0000 0.0000 0.0000
Tl 0.6667 0.3333 0.6331
Sb 0.3333 0.6667 0.4034
! crystal system	trigonal
! D(E_F)	0.57	states/eV per atom
! polymorph energy (0 for the lowest one)	51	meV/atom
! ΔE_f (raw)	-1.1	eV/f.u.



No. 4
! PBE Pm2TlSb, optimized geometry; values from VASP
&SYSTEM
  ibrav = 0, nat = 4, ntyp = 3
/
ATOMIC_SPECIES
Pm 145.00 Pm.upf
Tl 204.38 Tl.upf
Sb 121.76 Sb.upf
CELL_PARAMETERS angstrom
0.0000 3.8744 3.8744
3.8744 0.0000 3.8744
3.8744 3.8744 0.0000
ATOMIC_POSITIONS crystal
Pm 0.2500 0.2500 0.2500
Pm 0.7500 0.7500 0.7500
Tl 0.0000 0.0000 0.0000
Sb 0.5000 0.5000 0.5000
! crystal system	cubic
! D(E_F)	1.12	states/eV per atom
! polymorph energy (0 for the lowest one)	202	meV/atom
! ΔE_f (raw)	-2.2	eV/f.u.



No. 5
! PBE Pm6TlSb5, optimized geometry; values from VASP
&SYSTEM
  ibrav = 0, nat = 12, ntyp = 3
/
ATOMIC_SPECIES
Pm 145.00 Pm.upf
Tl 204.38 Tl.upf
Sb 121.76 Sb.upf
CELL_PARAMETERS angstrom
3.9001 -6.7557 0.0000
3.9001 6.7557 0.0000
-2.6140 0.0000 7.3047
ATOMIC_POSITIONS crystal
Pm 0.0724 0.4158 0.7467
Pm 0.2422 0.2422 0.2550
Pm 0.4158 0.0724 0.7467
Pm 0.5842 0.9276 0.2533
Pm 0.7578 0.7578 0.7450
Pm 0.9276 0.5842 0.2533
Tl 0.5000 0.5000 0.0000
Sb 0.0000 0.0000 0.5000
Sb 0.1667 0.8333 0.0000
Sb 0.3347 0.6653 0.5000
Sb 0.6653 0.3347 0.5000
Sb 0.8333 0.1667 0.0000
! crystal system	monoclinic
! D(E_F)	0.63	states/eV per atom
! ΔE_f (raw)	-12.0	eV/f.u.



No. 6
! PBE PmTlSb, optimized geometry; values from VASP
&SYSTEM
  ibrav = 0, nat = 6, ntyp = 3
/
ATOMIC_SPECIES
Pm 145.00 Pm.upf
Tl 204.38 Tl.upf
Sb 121.76 Sb.upf
CELL_PARAMETERS angstrom
2.6937 1.5552 8.1664
-2.6937 1.5552 8.1664
0.0000 -3.1104 8.1664
ATOMIC_POSITIONS crystal
Pm 0.2242 0.2242 0.2242
Pm 0.7758 0.7758 0.7758
Tl 0.3626 0.3626 0.3626
Tl 0.6374 0.6374 0.6374
Sb 0.0964 0.0964 0.0964
Sb 0.9036 0.9036 0.9036
! crystal system	trigonal
! D(E_F)	0.91	states/eV per atom
! polymorph energy (0 for the lowest one)	0	meV/atom
! ΔE_f (raw)	-1.3	eV/f.u.



No. 7
! PBE Pm5Tl2Sb2, optimized geometry; values from VASP
&SYSTEM
  ibrav = 0, nat = 18, ntyp = 3
/
ATOMIC_SPECIES
Pm 145.00 Pm.upf
Tl 204.38 Tl.upf
Sb 121.76 Sb.upf
CELL_PARAMETERS angstrom
7.9749 -4.1734 0.0000
7.9749 4.1734 0.0000
0.0000 0.0000 8.3766
ATOMIC_POSITIONS crystal
Pm 0.0000 0.0000 0.0000
Pm 0.0351 0.6940 0.6647
Pm 0.1940 0.5351 0.1647
Pm 0.3060 0.9649 0.6647
Pm 0.4649 0.8060 0.1647
Pm 0.5000 0.5000 0.5000
Pm 0.5351 0.1940 0.8353
Pm 0.6940 0.0351 0.3353
Pm 0.8060 0.4649 0.8353
Pm 0.9649 0.3060 0.3353
Tl 0.2067 0.2067 0.0000
Tl 0.2933 0.2933 0.5000
Tl 0.7067 0.7067 0.5000
Tl 0.7933 0.7933 0.0000
Sb 0.1375 0.8625 0.3600
Sb 0.3625 0.6375 0.8600
Sb 0.6375 0.3625 0.1400
Sb 0.8625 0.1375 0.6400
! crystal system	orthorhombic
! D(E_F)	0.93	states/eV per atom
! ΔE_f (raw)	-6.3	eV/f.u.



No. 8
! PBE Pm4TlSb3, optimized geometry; values from VASP
&SYSTEM
  ibrav = 0, nat = 8, ntyp = 3
/
ATOMIC_SPECIES
Pm 145.00 Pm.upf
Tl 204.38 Tl.upf
Sb 121.76 Sb.upf
CELL_PARAMETERS angstrom
6.3594 0.0000 0.0000
0.0000 6.3594 0.0000
0.0000 0.0000 6.3594
ATOMIC_POSITIONS crystal
Pm 0.0000 0.0000 0.0000
Pm 0.0000 0.5000 0.5000
Pm 0.5000 0.0000 0.5000
Pm 0.5000 0.5000 0.0000
Tl 0.5000 0.5000 0.5000
Sb 0.0000 0.0000 0.5000
Sb 0.0000 0.5000 0.0000
Sb 0.5000 0.0000 0.0000
! crystal system	cubic
! D(E_F)	0.43	states/eV per atom
! ΔE_f (raw)	-7.2	eV/f.u.



No. 9
! PBE Pm2TlSb, optimized geometry; values from VASP
&SYSTEM
  ibrav = 0, nat = 16, ntyp = 3
/
ATOMIC_SPECIES
Pm 145.00 Pm.upf
Tl 204.38 Tl.upf
Sb 121.76 Sb.upf
CELL_PARAMETERS angstrom
8.3994 0.0000 0.0000
0.0000 4.1919 0.0000
0.0000 0.0000 14.6934
ATOMIC_POSITIONS crystal
Pm 0.1842 0.2500 0.0106
Pm 0.1870 0.7500 0.7629
Pm 0.3130 0.2500 0.2629
Pm 0.3158 0.7500 0.5106
Pm 0.6842 0.2500 0.4894
Pm 0.6870 0.7500 0.7371
Pm 0.8130 0.2500 0.2371
Pm 0.8158 0.7500 0.9894
Tl 0.0459 0.2500 0.4186
Tl 0.4541 0.7500 0.9186
Tl 0.5459 0.2500 0.0814
Tl 0.9541 0.7500 0.5814
Sb 0.0665 0.7500 0.1605
Sb 0.4335 0.2500 0.6605
Sb 0.5665 0.7500 0.3395
Sb 0.9335 0.2500 0.8395
! crystal system	orthorhombic
! D(E_F)	0.83	states/eV per atom
! polymorph energy (0 for the lowest one)	137	meV/atom
! ΔE_f (raw)	-2.5	eV/f.u.



No. 10
! PBE Pm2TlSb, optimized geometry; values from VASP
&SYSTEM
  ibrav = 0, nat = 4, ntyp = 3
/
ATOMIC_SPECIES
Pm 145.00 Pm.upf
Tl 204.38 Tl.upf
Sb 121.76 Sb.upf
CELL_PARAMETERS angstrom
4.0605 0.0000 0.0000
0.0000 4.0605 0.0000
0.0000 0.0000 7.0302
ATOMIC_POSITIONS crystal
Pm 0.0000 0.0000 0.2392
Pm 0.0000 0.0000 0.7608
Tl 0.5000 0.5000 0.5000
Sb 0.5000 0.5000 0.0000
! crystal system	tetragonal
! D(E_F)	0.65	states/eV per atom
! polymorph energy (0 for the lowest one)	91	meV/atom
! ΔE_f (raw)	-2.7	eV/f.u.



No. 11
! PBE Pm12Tl5Sb3, optimized geometry; values from VASP
&SYSTEM
  ibrav = 0, nat = 80, ntyp = 3
/
ATOMIC_SPECIES
Pm 145.00 Pm.upf
Tl 204.38 Tl.upf
Sb 121.76 Sb.upf
CELL_PARAMETERS angstrom
-9.1075 9.1075 9.1075
9.1075 -9.1075 9.1075
9.1075 9.1075 -9.1075
ATOMIC_POSITIONS crystal
Pm 0.0578 0.2226 0.1376
Pm 0.0578 0.3352 0.9202
Pm 0.0798 0.6376 0.4150
Pm 0.0798 0.9422 0.6648
Pm 0.0850 0.7226 0.6648
Pm 0.0850 0.8624 0.4202
Pm 0.1376 0.0578 0.2226
Pm 0.1376 0.5798 0.9150
Pm 0.1648 0.2226 0.5850
Pm 0.1648 0.4422 0.5798
Pm 0.2226 0.1376 0.0578
Pm 0.2226 0.5850 0.1648
Pm 0.2774 0.3352 0.9150
Pm 0.2774 0.4422 0.3624
Pm 0.3352 0.9150 0.2774
Pm 0.3352 0.9202 0.0578
Pm 0.3624 0.2774 0.4422
Pm 0.3624 0.5850 0.9202
Pm 0.4150 0.0798 0.6376
Pm 0.4150 0.8352 0.7774
Pm 0.4202 0.0850 0.8624
Pm 0.4202 0.8352 0.5578
Pm 0.4422 0.3624 0.2774
Pm 0.4422 0.5798 0.1648
Pm 0.5578 0.4202 0.8352
Pm 0.5578 0.6376 0.7226
Pm 0.5798 0.1648 0.4422
Pm 0.5798 0.9150 0.1376
Pm 0.5850 0.1648 0.2226
Pm 0.5850 0.9202 0.3624
Pm 0.6376 0.4150 0.0798
Pm 0.6376 0.7226 0.5578
Pm 0.6648 0.0798 0.9422
Pm 0.6648 0.0850 0.7226
Pm 0.7226 0.5578 0.6376
Pm 0.7226 0.6648 0.0850
Pm 0.7774 0.4150 0.8352
Pm 0.7774 0.8624 0.9422
Pm 0.8352 0.5578 0.4202
Pm 0.8352 0.7774 0.4150
Pm 0.8624 0.4202 0.0850
Pm 0.8624 0.9422 0.7774
Pm 0.9150 0.1376 0.5798
Pm 0.9150 0.2774 0.3352
Pm 0.9202 0.0578 0.3352
Pm 0.9202 0.3624 0.5850
Pm 0.9422 0.6648 0.0798
Pm 0.9422 0.7774 0.8624
Tl 0.0000 0.0000 0.0000
Tl 0.0000 0.0000 0.5000
Tl 0.0000 0.5000 0.0000
Tl 0.0000 0.5000 0.5000
Tl 0.1250 0.7500 0.8750
Tl 0.1250 0.8750 0.2500
Tl 0.2500 0.1250 0.8750
Tl 0.2500 0.6250 0.3750
Tl 0.3750 0.2500 0.6250
Tl 0.3750 0.6250 0.7500
Tl 0.5000 0.0000 0.0000
Tl 0.5000 0.0000 0.5000
Tl 0.5000 0.5000 0.0000
Tl 0.5000 0.5000 0.5000
Tl 0.6250 0.3750 0.2500
Tl 0.6250 0.7500 0.3750
Tl 0.7500 0.3750 0.6250
Tl 0.7500 0.8750 0.1250
Tl 0.8750 0.1250 0.7500
Tl 0.8750 0.2500 0.1250
Sb 0.1250 0.2500 0.3750
Sb 0.1250 0.3750 0.7500
Sb 0.2500 0.3750 0.1250
Sb 0.2500 0.8750 0.6250
Sb 0.3750 0.1250 0.2500
Sb 0.3750 0.7500 0.1250
Sb 0.6250 0.2500 0.8750
Sb 0.6250 0.8750 0.7500
Sb 0.7500 0.1250 0.3750
Sb 0.7500 0.6250 0.8750
Sb 0.8750 0.6250 0.2500
Sb 0.8750 0.7500 0.6250
! crystal system	cubic
! D(E_F)	1.18	states/eV per atom
! ΔE_f (raw)	-1.9	eV/f.u.



No. 12
! PBE Pm8Tl3Sb2, optimized geometry; values from VASP
&SYSTEM
  ibrav = 0, nat = 13, ntyp = 3
/
ATOMIC_SPECIES
Pm 145.00 Pm.upf
Tl 204.38 Tl.upf
Sb 121.76 Sb.upf
CELL_PARAMETERS angstrom
7.6357 -4.4516 0.0000
7.6357 4.4516 0.0000
-0.1886 0.0000 6.3566
ATOMIC_POSITIONS crystal
Pm 0.0774 0.6740 0.3687
Pm 0.0961 0.0961 0.1357
Pm 0.3180 0.3180 0.9124
Pm 0.3260 0.9226 0.6313
Pm 0.6740 0.0774 0.3687
Pm 0.6820 0.6820 0.0876
Pm 0.9039 0.9039 0.8643
Pm 0.9226 0.3260 0.6313
Tl 0.3167 0.6833 0.0000
Tl 0.5000 0.5000 0.5000
Tl 0.6833 0.3167 0.0000
Sb 0.2702 0.2702 0.4224
Sb 0.7298 0.7298 0.5776
! crystal system	monoclinic
! D(E_F)	0.94	states/eV per atom
! ΔE_f (raw)	-4.7	eV/f.u.



No. 13
! PBE PmTlSb, optimized geometry; values from VASP
&SYSTEM
  ibrav = 0, nat = 3, ntyp = 3
/
ATOMIC_SPECIES
Pm 145.00 Pm.upf
Tl 204.38 Tl.upf
Sb 121.76 Sb.upf
CELL_PARAMETERS angstrom
-2.0423 2.0423 5.2247
2.0423 -2.0423 5.2247
2.0423 2.0423 -5.2247
ATOMIC_POSITIONS crystal
Pm 0.0000 0.0000 0.0000
Tl 0.6825 0.6825 0.0000
Sb 0.3444 0.3444 0.0000
! crystal system	tetragonal
! D(E_F)	0.97	states/eV per atom
! polymorph energy (0 for the lowest one)	5	meV/atom
! ΔE_f (raw)	-1.3	eV/f.u.



No. 14
! PBE Pm10Tl3Sb3, optimized geometry; values from VASP
&SYSTEM
  ibrav = 0, nat = 16, ntyp = 3
/
ATOMIC_SPECIES
Pm 145.00 Pm.upf
Tl 204.38 Tl.upf
Sb 121.76 Sb.upf
CELL_PARAMETERS angstrom
9.2339 0.0000 0.0000
-4.6170 7.9968 0.0000
0.0000 0.0000 6.7416
ATOMIC_POSITIONS crystal
Pm 0.0000 0.2408 0.0000
Pm 0.0000 0.7608 0.5000
Pm 0.2392 0.2392 0.5000
Pm 0.2408 0.0000 0.0000
Pm 0.3333 0.6667 0.2469
Pm 0.3333 0.6667 0.7531
Pm 0.6667 0.3333 0.2469
Pm 0.6667 0.3333 0.7531
Pm 0.7592 0.7592 0.0000
Pm 0.7608 0.0000 0.5000
Tl 0.0000 0.3958 0.5000
Tl 0.3958 0.0000 0.5000
Tl 0.6042 0.6042 0.5000
Sb 0.0000 0.6091 0.0000
Sb 0.3909 0.3909 0.0000
Sb 0.6091 0.0000 0.0000
! crystal system	hexagonal
! D(E_F)	1.13	states/eV per atom
! ΔE_f (raw)	-10.2	eV/f.u.



No. 15
! PBE Pm8Tl2Sb, optimized geometry; values from VASP
&SYSTEM
  ibrav = 0, nat = 11, ntyp = 3
/
ATOMIC_SPECIES
Pm 145.00 Pm.upf
Tl 204.38 Tl.upf
Sb 121.76 Sb.upf
CELL_PARAMETERS angstrom
9.8815 -2.6287 0.0000
9.8815 2.6287 0.0000
-1.4762 0.0000 6.8809
ATOMIC_POSITIONS crystal
Pm 0.0218 0.0218 0.2611
Pm 0.2085 0.2085 0.8232
Pm 0.3424 0.3424 0.5105
Pm 0.4097 0.4097 0.0371
Pm 0.5903 0.5903 0.9629
Pm 0.6576 0.6576 0.4895
Pm 0.7915 0.7915 0.1768
Pm 0.9782 0.9782 0.7389
Tl 0.1844 0.1844 0.2591
Tl 0.8156 0.8156 0.7409
Sb 0.5000 0.5000 0.5000
! crystal system	monoclinic
! D(E_F)	1.10	states/eV per atom
! ΔE_f (raw)	-3.2	eV/f.u.



No. 16
! PBE Pm4TlSb, optimized geometry; values from VASP
&SYSTEM
  ibrav = 0, nat = 12, ntyp = 3
/
ATOMIC_SPECIES
Pm 145.00 Pm.upf
Tl 204.38 Tl.upf
Sb 121.76 Sb.upf
CELL_PARAMETERS angstrom
2.8688 -10.9729 0.0000
2.8688 10.9729 0.0000
0.0000 0.0000 6.4720
ATOMIC_POSITIONS crystal
Pm 0.0656 0.9344 0.7500
Pm 0.2110 0.7890 0.9999
Pm 0.2110 0.7890 0.5001
Pm 0.3725 0.6275 0.7500
Pm 0.6275 0.3725 0.2500
Pm 0.7890 0.2110 0.0001
Pm 0.7890 0.2110 0.4999
Pm 0.9344 0.0656 0.2500
Tl 0.0744 0.9256 0.2500
Tl 0.9256 0.0744 0.7500
Sb 0.3456 0.6544 0.2500
Sb 0.6544 0.3456 0.7500
! crystal system	orthorhombic
! D(E_F)	1.05	states/eV per atom
! ΔE_f (raw)	-2.1	eV/f.u.



No. 17
! PBE PmTmTlSb, optimized geometry; values from VASP
&SYSTEM
  ibrav = 0, nat = 4, ntyp = 4
/
ATOMIC_SPECIES
Pm 145.00 Pm.upf
Tm 168.93 Tm.upf
Tl 204.38 Tl.upf
Sb 121.76 Sb.upf
CELL_PARAMETERS angstrom
0.0000 3.8178 3.8178
3.8178 0.0000 3.8178
3.8178 3.8178 0.0000
ATOMIC_POSITIONS crystal
Pm 0.0000 0.0000 0.0000
Tm 0.5000 0.5000 0.5000
Tl 0.2500 0.2500 0.2500
Sb 0.7500 0.7500 0.7500
! crystal system	cubic
! D(E_F)	0.82	states/eV per atom
! ΔE_f (raw)	-2.0	eV/f.u.



No. 18
! PBE Pm3TmSb4, optimized geometry; values from VASP
&SYSTEM
  ibrav = 0, nat = 8, ntyp = 3
/
ATOMIC_SPECIES
Pm 145.00 Pm.upf
Tm 168.93 Tm.upf
Sb 121.76 Sb.upf
CELL_PARAMETERS angstrom
4.4528 -6.3000 0.0000
4.4528 6.3000 0.0000
0.0000 0.0000 4.4579
ATOMIC_POSITIONS crystal
Pm 0.0000 0.0000 0.0000
Pm 0.0000 0.5000 0.5000
Pm 0.5000 0.0000 0.5000
Tm 0.5000 0.5000 0.0000
Sb 0.2535 0.7465 0.0000
Sb 0.2570 0.2570 0.5000
Sb 0.7430 0.7430 0.5000
Sb 0.7465 0.2535 0.0000
! crystal system	orthorhombic
! D(E_F)	0.13	states/eV per atom
! polymorph energy (0 for the lowest one)	0	meV/atom
! ΔE_f (raw)	-9.2	eV/f.u.



No. 19
! PBE Pm4TmSb2, optimized geometry; values from VASP
&SYSTEM
  ibrav = 0, nat = 7, ntyp = 3
/
ATOMIC_SPECIES
Pm 145.00 Pm.upf
Tm 168.93 Tm.upf
Sb 121.76 Sb.upf
CELL_PARAMETERS angstrom
-2.6776 2.6776 8.4367
2.6776 -2.6776 8.4367
2.6776 2.6776 -8.4367
ATOMIC_POSITIONS crystal
Pm 0.0000 0.5000 0.5000
Pm 0.1836 0.1836 0.0000
Pm 0.5000 0.0000 0.5000
Pm 0.8164 0.8164 0.0000
Tm 0.0000 0.0000 0.0000
Sb 0.3669 0.3669 0.0000
Sb 0.6331 0.6331 0.0000
! crystal system	tetragonal
! D(E_F)	0.92	states/eV per atom
! ΔE_f (raw)	0.7	eV/f.u.



No. 20
! PBE Pm5TmSb4, optimized geometry; values from VASP
&SYSTEM
  ibrav = 0, nat = 10, ntyp = 3
/
ATOMIC_SPECIES
Pm 145.00 Pm.upf
Tm 168.93 Tm.upf
Sb 121.76 Sb.upf
CELL_PARAMETERS angstrom
9.5000 -2.1830 0.0000
9.5000 2.1830 0.0000
-2.2253 0.0000 8.2960
ATOMIC_POSITIONS crystal
Pm 0.0000 0.0000 0.0000
Pm 0.3261 0.3261 0.1508
Pm 0.3347 0.3347 0.6735
Pm 0.6653 0.6653 0.3265
Pm 0.6739 0.6739 0.8492
Tm 0.0000 0.0000 0.5000
Sb 0.1664 0.1664 0.5869
Sb 0.4949 0.4949 0.2518
Sb 0.5051 0.5051 0.7482
Sb 0.8336 0.8336 0.4131
! crystal system	monoclinic
! D(E_F)	0.62	states/eV per atom
! ΔE_f (raw)	-7.7	eV/f.u.